Density functional theory data (GGA-PBEsol) for crystalline LaZnIn at its relaxed geometry.

Calculated values
Magnetic moment ... 0.00 μB per cell
Energy of formation from the pure elements ... -0.449 eV/atom

Unit cell a=6.771 b=6.771 c=6.771 alpha=90.00 beta=90.00 gamma=90.00
Space group F-43m (No. 216)
Asymmetric unit:
La: 0.000 0.000 0.000 [4 per cell]
Zn: 0.250 0.250 0.250 [4 per cell]
In: 0.000 0.000 0.500 [4 per cell]